1.
Computed, not measured: a relaxed Ac2TbPrNd crystal at the PBE level of DFT.

For the formation energy, the calculation gives 271 meV/atom.

a = 9.0844 Å, b = 6.8864 Å, c = 6.4062 Å
α = 90.00°, β = 90.06°, γ = 90.00°
Positions (direct):
Ac: 0.1988 0.1988 0.2505
Ac: 0.1988 0.8012 0.7505
Ac: 0.8012 0.1988 0.2495
Ac: 0.8012 0.8012 0.7495
Tb: 0.0000 0.3383 0.7500
Tb: 0.0000 0.6617 0.2500
Pr: 0.5000 0.5000 0.0000
Pr: 0.5000 0.5000 0.5000
Nd: 0.5000 0.0778 0.7500
Nd: 0.5000 0.9222 0.2500



2.
Computed, not measured: a relaxed InGa6Cu6 crystal at the PBE level of DFT.

For the formation energy, the calculation gives -60 meV/atom.

a = 6.6911 Å, b = 6.6911 Å, c = 6.6911 Å
α = 133.81°, β = 102.48°, γ = 95.25°
Positions (direct):
In: 0.0000 0.0000 0.0000
Ga: 0.1839 0.6839 0.5000
Ga: 0.3438 0.0000 0.3438
Ga: 0.3437 0.3437 0.0000
Ga: 0.6562 0.0000 0.6562
Ga: 0.6563 0.6563 0.0000
Ga: 0.8161 0.3161 0.5000
Cu: 0.0000 0.0000 0.5000
Cu: 0.0000 0.5000 0.0000
Cu: 0.2439 0.5000 0.7439
Cu: 0.5000 0.0000 0.0000
Cu: 0.5000 0.5000 0.5000
Cu: 0.7561 0.5000 0.2561



3.
Computed, not measured: a relaxed CdAs2Rh crystal at the PBE level of DFT.

For the formation energy, the calculation gives -68 meV/atom.

a = 4.7410 Å, b = 3.9872 Å, c = 4.9226 Å
α = 90.00°, β = 112.80°, γ = 90.00°
Positions (direct):
Cd: 0.0000 0.0000 0.0000
As: 0.3733 0.5000 0.7218
As: 0.6267 0.5000 0.2782
Rh: 0.5000 0.0000 0.5000